First-principles (PBE) data for a relaxed structure of Na2Li3, as listed in the Alexandria database.

Calculated values
The symmetry is R-3c. The formation energy comes out at 0.148 eV per atom.

The structure in POSCAR format:
```
Na2Li3
1.0
4.505 2.601 3.942
-4.505 2.601 3.942
0.000 -5.202 3.942
Na Li
4 6
Direct
0.124 0.124 0.124
0.376 0.376 0.376
0.624 0.624 0.624
0.876 0.876 0.876
0.075 0.750 0.425
0.250 0.575 0.925
0.425 0.075 0.750
0.575 0.925 0.250
0.750 0.425 0.075
0.925 0.250 0.575
```


First-principles (PBE) data for a relaxed structure of Na8Li, as listed in the Alexandria database.

Calculated values
The symmetry is I4/mmm. The formation energy comes out at 0.024 eV per atom.

The structure in POSCAR format:
```
Na8Li
1.0
-5.420 5.420 2.670
5.420 -5.420 2.670
5.420 5.420 -2.670
Na Li
8 1
Direct
0.000 0.328 0.328
0.000 0.672 0.672
0.328 0.000 0.328
0.338 0.338 0.677
0.338 0.662 0.000
0.662 0.338 0.000
0.662 0.662 0.323
0.672 0.000 0.672
0.000 0.000 0.000
```


First-principles (PBE) data for a relaxed structure of NaLi2, as listed in the Alexandria database.

Calculated values
The symmetry is Cmcm. The formation energy comes out at 0.049 eV per atom.

The structure in POSCAR format:
```
NaLi2
1.0
1.633 -8.727 0.000
1.633 8.727 0.000
0.000 0.000 5.370
Na Li
2 4
Direct
0.060 0.940 0.750
0.940 0.060 0.250
0.273 0.727 0.250
0.372 0.628 0.750
0.628 0.372 0.250
0.727 0.273 0.750
```


First-principles (PBE) data for a relaxed structure of Na2Li13, as listed in the Alexandria database.

Calculated values
The symmetry is R-3m. The formation energy comes out at 0.100 eV per atom.

The structure in POSCAR format:
```
Na2Li13
1.0
3.825 2.208 6.895
-3.825 2.208 6.895
0.000 -4.416 6.895
Na Li
2 13
Direct
0.164 0.164 0.164
0.836 0.836 0.836
0.000 0.000 0.000
0.168 0.168 0.551
0.168 0.551 0.168
0.312 0.312 0.686
0.312 0.686 0.312
0.314 0.688 0.688
0.449 0.832 0.832
0.551 0.168 0.168
0.686 0.312 0.312
0.688 0.314 0.688
0.688 0.688 0.314
0.832 0.449 0.832
0.832 0.832 0.449
```


First-principles (PBE) data for a relaxed structure of Na4Li5, as listed in the Alexandria database.

Calculated values
The symmetry is I4/mmm. The formation energy comes out at 0.052 eV per atom.

The structure in POSCAR format:
```
Na4Li5
1.0
-4.998 4.998 2.439
4.998 -4.998 2.439
4.998 4.998 -2.439
Na Li
4 5
Direct
0.000 0.317 0.317
0.000 0.683 0.683
0.317 0.000 0.317
0.683 0.000 0.683
0.000 0.000 0.000
0.344 0.344 0.687
0.344 0.656 0.000
0.656 0.344 0.000
0.656 0.656 0.313
```


First-principles (PBE) data for a relaxed structure of NaLi7, as listed in the Alexandria database.

Calculated values
The symmetry is Fm-3m. The formation energy comes out at 0.038 eV per atom.

The structure in POSCAR format:
```
NaLi7
1.0
0.000 4.458 4.458
4.458 0.000 4.458
4.458 4.458 0.000
Na Li
1 7
Direct
0.000 0.000 0.000
0.000 0.000 0.500
0.000 0.500 0.000
0.000 0.500 0.500
0.500 0.000 0.000
0.500 0.000 0.500
0.500 0.500 0.000
0.500 0.500 0.500
```


First-principles (PBE) data for a relaxed structure of Na13Li2, as listed in the Alexandria database.

Calculated values
The symmetry is R-3m. The formation energy comes out at 0.170 eV per atom.

The structure in POSCAR format:
```
Na13Li2
1.0
4.739 2.736 8.498
-4.739 2.736 8.498
0.000 -5.472 8.498
Na Li
13 2
Direct
0.000 0.000 0.000
0.017 0.017 0.638
0.017 0.638 0.017
0.237 0.237 0.602
0.237 0.602 0.237
0.362 0.983 0.983
0.398 0.763 0.763
0.602 0.237 0.237
0.638 0.017 0.017
0.763 0.398 0.763
0.763 0.763 0.398
0.983 0.362 0.983
0.983 0.983 0.362
0.241 0.241 0.241
0.759 0.759 0.759
```


First-principles (PBE) data for a relaxed structure of Na2Li, as listed in the Alexandria database.

Calculated values
The symmetry is I4/mmm. The formation energy comes out at 0.041 eV per atom.

The structure in POSCAR format:
```
Na2Li
1.0
-1.874 1.874 6.651
1.874 -1.874 6.651
1.874 1.874 -6.651
Na Li
2 1
Direct
0.153 0.153 0.000
0.847 0.847 0.000
0.500 0.500 0.000
```


First-principles (PBE) data for a relaxed structure of NaLi7, as listed in the Alexandria database.

Calculated values
The symmetry is I4/mmm. The formation energy comes out at 0.025 eV per atom.

The structure in POSCAR format:
```
NaLi7
1.0
-2.272 2.272 8.569
2.272 -2.272 8.569
2.272 2.272 -8.569
Na Li
1 7
Direct
0.000 0.000 0.000
0.134 0.634 0.500
0.252 0.252 0.000
0.366 0.866 0.500
0.500 0.500 0.000
0.634 0.134 0.500
0.748 0.748 0.000
0.866 0.366 0.500
```


First-principles (PBE) data for a relaxed structure of Na4Li, as listed in the Alexandria database.

Calculated values
The symmetry is P2/m. The formation energy comes out at 0.047 eV per atom.

The structure in POSCAR format:
```
Na4Li
1.0
5.495 0.000 0.000
0.000 3.470 0.000
-2.700 0.000 8.769
Na Li
4 1
Direct
0.096 0.000 0.194
0.308 0.500 0.616
0.692 0.500 0.384
0.904 0.000 0.806
0.500 0.500 0.000
```


First-principles (PBE) data for a relaxed structure of NaLi6, as listed in the Alexandria database.

Calculated values
The symmetry is Pnma. The formation energy comes out at 0.069 eV per atom.

The structure in POSCAR format:
```
NaLi6
1.0
9.389 0.000 0.000
0.000 5.785 0.000
0.000 0.000 11.993
Na Li
4 24
Direct
0.248 0.250 0.067
0.252 0.750 0.567
0.748 0.250 0.433
0.752 0.750 0.933
0.056 0.750 0.082
0.065 0.006 0.307
0.065 0.494 0.307
0.104 0.250 0.522
0.143 0.750 0.847
0.187 0.250 0.767
0.313 0.750 0.267
0.357 0.250 0.347
0.396 0.750 0.022
0.435 0.506 0.807
0.435 0.994 0.807
0.444 0.250 0.582
0.556 0.750 0.418
0.565 0.006 0.193
0.565 0.494 0.193
0.604 0.250 0.978
0.643 0.750 0.653
0.687 0.250 0.733
0.813 0.750 0.233
0.857 0.250 0.153
0.896 0.750 0.478
0.935 0.506 0.693
0.935 0.994 0.693
0.944 0.250 0.918
```


First-principles (PBE) data for a relaxed structure of NaLi6, as listed in the Alexandria database.

Calculated values
The symmetry is Im-3m. The formation energy comes out at 0.362 eV per atom.

The structure in POSCAR format:
```
NaLi6
1.0
-3.696 3.696 3.696
3.696 -3.696 3.696
3.696 3.696 -3.696
Na Li
1 6
Direct
0.000 0.000 0.000
0.250 0.500 0.750
0.250 0.750 0.500
0.500 0.250 0.750
0.500 0.750 0.250
0.750 0.250 0.500
0.750 0.500 0.250
```


First-principles (PBE) data for a relaxed structure of NaLi8, as listed in the Alexandria database.

Calculated values
The symmetry is I4/mmm. The formation energy comes out at 0.028 eV per atom.

The structure in POSCAR format:
```
NaLi8
1.0
-4.632 4.632 2.291
4.632 -4.632 2.291
4.632 4.632 -2.291
Na Li
1 8
Direct
0.000 0.000 0.000
0.000 0.341 0.341
0.000 0.659 0.659
0.327 0.327 0.653
0.327 0.673 0.000
0.341 0.000 0.341
0.659 0.000 0.659
0.673 0.327 0.000
0.673 0.673 0.347
```


First-principles (PBE) data for a relaxed structure of NaLi6, as listed in the Alexandria database.

Calculated values
The symmetry is P4/mmm. The formation energy comes out at 0.125 eV per atom.

The structure in POSCAR format:
```
NaLi6
1.0
4.541 0.000 0.000
0.000 4.541 0.000
0.000 0.000 8.217
Na Li
1 6
Direct
0.000 0.000 0.000
0.000 0.000 0.500
0.000 0.500 0.286
0.000 0.500 0.714
0.500 0.000 0.286
0.500 0.000 0.714
0.500 0.500 0.000
```


First-principles (PBE) data for a relaxed structure of NaLi8, as listed in the Alexandria database.

Calculated values
The symmetry is I4/mmm. The formation energy comes out at 0.030 eV per atom.

The structure in POSCAR format:
```
NaLi8
1.0
-5.372 5.372 1.711
5.372 -5.372 1.711
5.372 5.372 -1.711
Na Li
1 8
Direct
0.000 0.000 0.000
0.000 0.336 0.336
0.000 0.664 0.664
0.325 0.325 0.651
0.325 0.675 0.000
0.336 0.000 0.336
0.664 0.000 0.664
0.675 0.325 0.000
0.675 0.675 0.349
```


First-principles (PBE) data for a relaxed structure of Na2Li, as listed in the Alexandria database.

Calculated values
The symmetry is I4_1/amd. The formation energy comes out at 0.060 eV per atom.

The structure in POSCAR format:
```
Na2Li
1.0
-1.709 1.709 16.224
1.709 -1.709 16.224
1.709 1.709 -16.224
Na Li
4 2
Direct
0.300 0.550 0.750
0.450 0.700 0.750
0.550 0.300 0.250
0.700 0.450 0.250
0.125 0.875 0.250
0.875 0.125 0.750
```


First-principles (PBE) data for a relaxed structure of Na4Li, as listed in the Alexandria database.

Calculated values
The symmetry is I4/mmm. The formation energy comes out at 0.140 eV per atom.

The structure in POSCAR format:
```
Na4Li
1.0
-2.269 2.269 8.885
2.269 -2.269 8.885
2.269 2.269 -8.885
Na Li
4 1
Direct
0.092 0.092 0.000
0.250 0.750 0.500
0.750 0.250 0.500
0.908 0.908 0.000
0.500 0.500 0.000
```


First-principles (PBE) data for a relaxed structure of Na7Li2, as listed in the Alexandria database.

Calculated values
The symmetry is P-31m. The formation energy comes out at 0.039 eV per atom.

The structure in POSCAR format:
```
Na7Li2
1.0
6.270 0.000 0.000
-3.135 5.430 0.000
0.000 0.000 8.733
Na Li
7 2
Direct
0.000 0.000 0.000
0.000 0.339 0.678
0.000 0.661 0.322
0.339 0.000 0.678
0.339 0.339 0.322
0.661 0.000 0.322
0.661 0.661 0.678
0.333 0.667 0.000
0.667 0.333 0.000
```


First-principles (PBE) data for a relaxed structure of NaLi2, as listed in the Alexandria database.

Calculated values
The symmetry is I4/mmm. The formation energy comes out at 0.042 eV per atom.

The structure in POSCAR format:
```
NaLi2
1.0
-1.760 1.760 6.167
1.760 -1.760 6.167
1.760 1.760 -6.167
Na Li
1 2
Direct
0.000 0.000 0.000
0.317 0.317 0.000
0.683 0.683 0.000
```


First-principles (PBE) data for a relaxed structure of NaLi2, as listed in the Alexandria database.

Calculated values
The symmetry is Fd-3m. The formation energy comes out at 0.048 eV per atom.

The structure in POSCAR format:
```
NaLi2
1.0
0.000 4.285 4.285
4.285 0.000 4.285
4.285 4.285 0.000
Na Li
2 4
Direct
0.125 0.125 0.125
0.875 0.875 0.875
0.000 0.500 0.500
0.500 0.000 0.500
0.500 0.500 0.000
0.500 0.500 0.500
```


First-principles (PBE) data for a relaxed structure of Na2Li, as listed in the Alexandria database.

Calculated values
The symmetry is Fd-3m. The formation energy comes out at 0.137 eV per atom.

The structure in POSCAR format:
```
Na2Li
1.0
0.000 4.630 4.630
4.630 0.000 4.630
4.630 4.630 0.000
Na Li
4 2
Direct
0.000 0.000 0.000
0.000 0.000 0.500
0.000 0.500 0.000
0.500 0.000 0.000
0.375 0.375 0.375
0.625 0.625 0.625
```


First-principles (PBE) data for a relaxed structure of Na2Li13, as listed in the Alexandria database.

Calculated values
The symmetry is R-3m. The formation energy comes out at 0.215 eV per atom.

The structure in POSCAR format:
```
Na2Li13
1.0
4.096 2.365 7.407
-4.096 2.365 7.407
0.000 -4.730 7.407
Na Li
2 13
Direct
0.241 0.241 0.241
0.759 0.759 0.759
0.000 0.000 0.000
0.013 0.013 0.655
0.013 0.655 0.013
0.234 0.234 0.621
0.234 0.621 0.234
0.345 0.987 0.987
0.379 0.766 0.766
0.621 0.234 0.234
0.655 0.013 0.013
0.766 0.379 0.766
0.766 0.766 0.379
0.987 0.345 0.987
0.987 0.987 0.345
```


First-principles (PBE) data for a relaxed structure of Na2Li, as listed in the Alexandria database.

Calculated values
The symmetry is P4/nmm. The formation energy comes out at 0.026 eV per atom.

The structure in POSCAR format:
```
Na2Li
1.0
3.659 0.000 0.000
0.000 3.659 0.000
0.000 0.000 13.939
Na Li
4 2
Direct
0.250 0.250 0.098
0.250 0.250 0.706
0.750 0.750 0.294
0.750 0.750 0.902
0.250 0.250 0.446
0.750 0.750 0.554
```